Entry 1:
Pa2Mn3Al2: relaxed, PBE.

Values from the calculation:
density of states at the Fermi level: 0.96 states/eV per atom
formation enthalpy at 0 K: -0.277 eV per atom

abc: 12.0136 4.4067 4.6962
angles: 90.00 94.30 90.00
Space group C2/m (No. 12)
One atom of each set of equivalent atoms:
Pa 0.1443 0.0000 0.3885
Mn 0.0000 0.0000 0.0000
Mn 0.2023 0.0000 0.8555
Al 0.0992 0.5000 0.8855

=====

Entry 2:
PaMnAl: relaxed, PBE.

Values from the calculation:
density of states at the Fermi level: 0.55 states/eV per atom
formation enthalpy at 0 K: -0.308 eV per atom

abc: 6.1737 5.5167 9.1578
angles: 90.00 132.19 90.00
Space group P2_1/c (No. 14)
One atom of each set of equivalent atoms:
Pa 0.0958 0.1408 0.3846
Mn 0.1084 0.1505 0.1484
Al 0.4301 0.6284 0.6368

=====

Entry 3:
Pa3Mn2Al7: relaxed, PBE.

Values from the calculation:
density of states at the Fermi level: 1.30 states/eV per atom
formation enthalpy at 0 K: -0.262 eV per atom

abc: 5.3517 5.3517 26.3216
angles: 90.00 90.00 120.00
Space group R-3m (No. 166, hexagonal axes)
One atom of each set of equivalent atoms:
Pa 0.0000 0.0000 0.0000
Pa 0.0000 0.0000 0.1501
Mn 0.0000 0.0000 0.3355
Al 0.0000 0.0000 0.5000
Al 0.0046 0.5023 0.9219

=====

Entry 4:
Pa2MnAl: relaxed, PBE.

Values from the calculation:
density of states at the Fermi level: 1.54 states/eV per atom
polymorph energy (0 for the lowest one): 0.0000 eV/atom
formation enthalpy at 0 K: -0.036 eV per atom

abc: 4.2531 4.2531 4.4139
angles: 90.00 90.00 90.00
Space group P4/mmm (No. 123)
One atom of each set of equivalent atoms:
Pa 0.0000 0.5000 0.0000
Mn 0.0000 0.0000 0.5000
Al 0.5000 0.5000 0.5000